Record 1
{
  "formula": "CdAg3As",
  "functional": "PBE-GGA",
  "state": "relaxed",
  "lattice": [[-4.7594, 1.6092, -0.8437], [0.1638, -1.9759, -4.6928], [-1.8096, -4.4113, 1.7942]],
  "species": ["As", "Ag", "Ag", "Ag", "Cd"],
  "frac_coords": [[0.5000, 0.5000, 0.5000], [0.0000, 0.5000, 0.0000], [0.0000, 0.0000, 0.5000], [0.5000, 0.0000, 0.0000], [0.0000, 0.0000, 0.0000]],
  "e_form_ev_per_atom": 0.87,
  "e_tot_ev_per_atom": -1.958,
  "n_ef_per_ev_cell": 1.8,
  "magnetic_moment_mub_per_fu": 0.000,
  "polymorph_energy_mev_per_atom": 591
}

=====

Record 2
{
  "formula": "Tm2TlV",
  "functional": "PBE-GGA",
  "state": "relaxed",
  "lattice": [[-0.7571, -3.5398, -0.2756], [1.8772, -0.1599, -3.1033], [6.1233, -1.6045, 3.7867]],
  "species": ["Tl", "Tm", "Tm", "V"],
  "frac_coords": [[0.5000, 0.5000, 0.5000], [0.0000, 0.0000, 0.7715], [0.0000, 0.0000, 0.2285], [0.5000, 0.5000, 0.0000]],
  "e_form_ev_per_atom": -0.01,
  "e_tot_ev_per_atom": -5.117,
  "n_ef_per_ev_cell": 3.5,
  "magnetic_moment_mub_per_fu": 3.045,
  "polymorph_energy_mev_per_atom": 0
}

=====

Record 3
{
  "formula": "Pr2ScGe4Au3",
  "functional": "PBE-GGA",
  "state": "relaxed",
  "lattice": [[4.3675, 0.0000, 0.0000], [0.0000, 4.3675, 0.0000], [0.0000, 0.0000, 11.3949]],
  "species": ["Pr", "Pr", "Sc", "Ge", "Ge", "Ge", "Ge", "Au", "Au", "Au"],
  "frac_coords": [[0.5000, 0.0000, 0.2438], [0.0000, 0.5000, 0.7562], [0.5000, 0.5000, 0.5000], [0.5000, 0.5000, 0.0000], [0.0000, 0.0000, 0.0000], [0.5000, 0.0000, 0.6432], [0.0000, 0.5000, 0.3568], [0.0000, 0.0000, 0.5000], [0.5000, 0.0000, 0.8658], [0.0000, 0.5000, 0.1342]],
  "e_form_ev_per_atom": -0.64,
  "e_tot_ev_per_atom": -5.062,
  "n_ef_per_ev_cell": 3.0,
  "magnetic_moment_mub_per_fu": 0.000
}

=====

Record 4
{
  "formula": "CsBiAs3",
  "functional": "PBE-GGA",
  "state": "relaxed",
  "lattice": [[-4.7027, 2.5195, 1.8403], [-2.0317, -4.9992, 1.6525], [2.3679, 0.7145, 5.0728]],
  "species": ["Cs", "As", "As", "As", "Bi"],
  "frac_coords": [[0.5000, 0.5000, 0.5000], [0.0000, 0.5000, 0.0000], [0.0000, 0.0000, 0.5000], [0.5000, 0.0000, 0.0000], [0.0000, 0.0000, 0.0000]],
  "e_form_ev_per_atom": 0.51,
  "e_tot_ev_per_atom": -3.227,
  "n_ef_per_ev_cell": 8.4,
  "magnetic_moment_mub_per_fu": 0.000,
  "polymorph_energy_mev_per_atom": 0
}

=====

Record 5
{
  "formula": "PuInGaPt3",
  "functional": "PBE-GGA",
  "state": "relaxed",
  "lattice": [[-4.2930, -3.5259, 0.9147], [2.6652, -4.0237, -3.0015], [2.4570, -0.7639, 8.5868]],
  "species": ["Pu", "Pu", "In", "In", "Ga", "Ga", "Pt", "Pt", "Pt", "Pt", "Pt", "Pt"],
  "frac_coords": [[0.7500, 0.2832, 0.5664], [0.2500, 0.7168, 0.4336], [0.2500, 0.1070, 0.2141], [0.7500, 0.8930, 0.7859], [0.2500, 0.4089, 0.8178], [0.7500, 0.5911, 0.1822], [0.2500, 0.2634, 0.5267], [0.0000, 0.2507, 0.0000], [0.5000, 0.7493, 0.0000], [0.5000, 0.2507, 0.0000], [0.0000, 0.7493, 0.0000], [0.7500, 0.7366, 0.4733]],
  "e_form_ev_per_atom": -0.50,
  "e_tot_ev_per_atom": -6.866,
  "n_ef_per_ev_cell": 25.8,
  "magnetic_moment_mub_per_fu": 5.384
}

=====

Record 6
{
  "formula": "Pm12Si6Ag",
  "functional": "PBE-GGA",
  "state": "relaxed",
  "lattice": [[8.8282, 0.0000, 0.0000], [-2.9427, 8.3233, 0.0000], [-2.9427, -4.1616, 7.2082]],
  "species": ["Pm", "Pm", "Pm", "Pm", "Pm", "Pm", "Pm", "Pm", "Pm", "Pm", "Pm", "Pm", "Si", "Si", "Si", "Si", "Si", "Si", "Ag"],
  "frac_coords": [[0.2957, 0.1077, 0.8121], [0.2957, 0.4836, 0.1879], [0.7043, 0.5164, 0.8121], [0.7043, 0.8923, 0.1879], [0.1077, 0.8121, 0.2957], [0.4836, 0.1879, 0.2957], [0.5164, 0.8121, 0.7043], [0.8923, 0.1879, 0.7043], [0.8121, 0.2957, 0.1077], [0.1879, 0.2957, 0.4836], [0.8121, 0.7043, 0.5164], [0.1879, 0.7043, 0.8923], [0.3848, 0.5000, 0.8848], [0.6152, 0.5000, 0.1152], [0.5000, 0.8848, 0.3848], [0.5000, 0.1152, 0.6152], [0.8848, 0.3848, 0.5000], [0.1152, 0.6152, 0.5000], [0.0000, 0.0000, 0.0000]],
  "e_form_raw_ev_per_atom": -0.464,
  "e_tot_ev_per_atom": -5.327,
  "n_ef_per_ev_cell": 18.3,
  "magnetic_moment_mub_per_fu": 0.001
}

=====

Record 7
{
  "formula": "Ho12Cu3H5",
  "functional": "PBE-GGA",
  "state": "relaxed",
  "lattice": [[-0.2704, 7.0583, 10.9089], [-7.5082, -10.5079, 1.4519], [12.2108, -3.7071, -2.4596]],
  "species": ["H", "H", "H", "H", "H", "H", "H", "H", "H", "H", "H", "H", "H", "H", "H", "H", "H", "H", "H", "H", "Ho", "Ho", "Ho", "Ho", "Ho", "Ho", "Ho", "Ho", "Ho", "Ho", "Ho", "Ho", "Ho", "Ho", "Ho", "Ho", "Ho", "Ho", "Ho", "Ho", "Ho", "Ho", "Ho", "Ho", "Ho", "Ho", "Ho", "Ho", "Ho", "Ho", "Ho", "Ho", "Ho", "Ho", "Ho", "Ho", "Ho", "Ho", "Ho", "Ho", "Ho", "Ho", "Ho", "Ho", "Ho", "Ho", "Ho", "Ho", "Cu", "Cu", "Cu", "Cu", "Cu", "Cu", "Cu", "Cu", "Cu", "Cu", "Cu", "Cu"],
  "frac_coords": [[0.1250, 0.3750, 0.2500], [0.0000, 0.5000, 0.0000], [0.0000, 0.0000, 0.0000], [0.3750, 0.2500, 0.1250], [0.5000, 0.0000, 0.5000], [0.5000, 0.5000, 0.0000], [0.1250, 0.7500, 0.3750], [0.7500, 0.1250, 0.8750], [0.7500, 0.6250, 0.3750], [0.3750, 0.1250, 0.7500], [0.6250, 0.8750, 0.2500], [0.5000, 0.5000, 0.5000], [0.5000, 0.0000, 0.0000], [0.0000, 0.0000, 0.5000], [0.2500, 0.3750, 0.6250], [0.2500, 0.8750, 0.1250], [0.0000, 0.5000, 0.5000], [0.8750, 0.2500, 0.6250], [0.6250, 0.7500, 0.8750], [0.8750, 0.6250, 0.7500], [0.7121, 0.1154, 0.0209], [0.3089, 0.5209, 0.4056], [0.9791, 0.3846, 0.2879], [0.5209, 0.2121, 0.1154], [0.5967, 0.7121, 0.6911], [0.9791, 0.5944, 0.1911], [0.3089, 0.7879, 0.4033], [0.0944, 0.9033, 0.1154], [0.5944, 0.9791, 0.6911], [0.7121, 0.5967, 0.1911], [0.7879, 0.4791, 0.3846], [0.8089, 0.9056, 0.0209], [0.1154, 0.7121, 0.5209], [0.3846, 0.4056, 0.0967], [0.0967, 0.9056, 0.3846], [0.4033, 0.1154, 0.5944], [0.0967, 0.1911, 0.2121], [0.4791, 0.6911, 0.0944], [0.8089, 0.9033, 0.2879], [0.1154, 0.4033, 0.0944], [0.3846, 0.9791, 0.7879], [0.5944, 0.6154, 0.4033], [0.9056, 0.8089, 0.5209], [0.7879, 0.3089, 0.9033], [0.4056, 0.3846, 0.5967], [0.0944, 0.1911, 0.4791], [0.2121, 0.6911, 0.0967], [0.1911, 0.0967, 0.7121], [0.6154, 0.0209, 0.2121], [0.8846, 0.5967, 0.9056], [0.5209, 0.3089, 0.9056], [0.5967, 0.8846, 0.4056], [0.9033, 0.8089, 0.7879], [0.9033, 0.0944, 0.6154], [0.8846, 0.2879, 0.4791], [0.1911, 0.0944, 0.9791], [0.6154, 0.5944, 0.9033], [0.4056, 0.0209, 0.3089], [0.2879, 0.4033, 0.8089], [0.2121, 0.5209, 0.6154], [0.9056, 0.0967, 0.8846], [0.6911, 0.2121, 0.5967], [0.4791, 0.7879, 0.8846], [0.0209, 0.4056, 0.8089], [0.4033, 0.2879, 0.3089], [0.0209, 0.6154, 0.7121], [0.6911, 0.4791, 0.5944], [0.2879, 0.8846, 0.9791], [0.7500, 0.3750, 0.1250], [0.8750, 0.7500, 0.1250], [0.3750, 0.7500, 0.6250], [0.2500, 0.1250, 0.3750], [0.8750, 0.1250, 0.2500], [0.3750, 0.6250, 0.2500], [0.6250, 0.3750, 0.7500], [0.1250, 0.8750, 0.7500], [0.7500, 0.8750, 0.6250], [0.6250, 0.2500, 0.3750], [0.1250, 0.2500, 0.8750], [0.2500, 0.6250, 0.8750]],
  "e_tot_ev_per_atom": -4.416,
  "n_ef_per_ev_cell": 70.1,
  "magnetic_moment_mub_per_fu": 0.000
}

=====

Record 8
{
  "formula": "CeNdThCd",
  "functional": "PBE-GGA",
  "state": "relaxed",
  "lattice": [[-1.1396, 4.4894, -2.8888], [-4.2491, 3.1333, 1.3879], [0.8432, 4.9341, 2.1777]],
  "species": ["Nd", "Ce", "Th", "Cd"],
  "frac_coords": [[0.5000, 0.5000, 0.5000], [0.7500, 0.7500, 0.7500], [0.0000, 0.0000, 0.0000], [0.2500, 0.2500, 0.2500]],
  "e_form_ev_per_atom": 0.09,
  "e_tot_ev_per_atom": -4.674,
  "n_ef_per_ev_cell": 8.3,
  "magnetic_moment_mub_per_fu": 0.002
}